NaSr2PbS | PBE | relaxed

```
data_NaSr2PbS
_cell_length_a 5.772
_cell_length_b 5.772
_cell_length_c 5.170
_cell_angle_alpha 90.00
_cell_angle_beta 90.00
_cell_angle_gamma 90.00
_symmetry_space_group_name_H-M 'P 4/m m m'
_symmetry_Int_Tables_number 123
_symmetry_space_group_name_Hall '-P 4 2'
loop_
_atom_site_label
_atom_site_type_symbol
_atom_site_fract_x
_atom_site_fract_y
_atom_site_fract_z
_atom_site_occupancy
Na1 Na 0.000 0.000 0.000 1
Sr1 Sr 0.000 0.500 0.500 1
Pb1 Pb 0.500 0.500 0.000 1
S1 S 0.000 0.000 0.500 1
```

**E_form (uncorrected)**: -915 meV per atom
**Uncorrected energy**: -3.419 eV/atom
**Spin magnetization**: 0.000 μB/atom